1.
This record from the Alexandria database describes HfNb after structural relaxation. The functional is PBE-GGA.

Summary:
Space-group type = No. 12

a b c (Å): 4.761 4.896 8.348
angles (deg): 90.00 124.78 90.00
Positions (direct):
Hf 0.118 0.000 0.369
Hf 0.882 0.000 0.631
Hf 0.118 0.500 0.869
Hf 0.882 0.500 0.131
Nb 0.367 0.000 0.117
Nb 0.633 0.000 0.883
Nb 0.367 0.500 0.617
Nb 0.633 0.500 0.383

2.
This record from the Alexandria database describes Hf4Nb after structural relaxation. The functional is PBE-GGA.

Summary:
Space-group type = No. 139
Energy above the lowest structure with this stoichiometry = 0.000 eV/atom

a b c (Å): 3.409 3.409 9.509
angles (deg): 100.32 100.32 90.00
Positions (direct):
Hf 0.412 0.412 0.823
Hf 0.804 0.804 0.608
Hf 0.196 0.196 0.392
Hf 0.588 0.588 0.177
Nb 0.000 0.000 0.000

3.
This record from the Alexandria database describes HfNb after structural relaxation. The functional is PBE-GGA.

Summary:
Space-group type = No. 11

a b c (Å): 3.036 4.706 5.779
angles (deg): 90.00 77.22 90.00
Positions (direct):
Nb 0.578 0.750 0.614
Nb 0.422 0.250 0.386
Hf 0.161 0.750 0.137
Hf 0.839 0.250 0.863

Volume per entry: 20.0; 21.4; 20.1 A^3/atom
Formation energy from the elements per entry: 0.10; 0.10; 0.05 eV per atom